1.
DFT (meta-GGA SCAN) results for a PBEsol-optimized structure of ScFeOs2.

Properties
E above lowest polymorph, eV/atom: 0.1365
Density, g/cm³: 13.941
Formation energy, kJ per mole of atoms: -0.3

Cell lengths 10.3851, 2.7436, 4.3531 Å; angles 90.00, 112.43, 90.00 degrees
Space group C2/m (No. 12)
One atom of each set of equivalent atoms:
Sc 0.0000 0.0000 0.0000 (multiplicity 2)
Fe 0.0000 0.5000 0.5000 (multiplicity 2)
Os 0.2150 0.0000 0.7165 (multiplicity 4)


2.
DFT (meta-GGA SCAN) results for a PBEsol-optimized structure of ScFeOs.

Properties
E above lowest polymorph, eV/atom: 0.9865
Density, g/cm³: 9.243
Formation energy, kJ per mole of atoms: 95.2

Cell lengths 5.9357, 5.9357, 5.9357 Å; angles 90.00, 90.00, 90.00 degrees
Space group F-43m (No. 216)
One atom of each set of equivalent atoms:
Sc 0.0000 0.0000 0.0000 (multiplicity 4)
Fe 0.2500 0.2500 0.7500 (multiplicity 4)
Os 0.2500 0.2500 0.2500 (multiplicity 4)


3.
DFT (meta-GGA SCAN) results for a PBEsol-optimized structure of Fe2SiOs.

Properties
E_form (uncorrected), eV per atom: 0.043
Density, g/cm³: 11.422

Cell lengths 2.6690, 2.6690, 23.3290 Å; angles 90.00, 90.00, 120.00 degrees
Space group R3m (No. 160, hexagonal axes)
One atom of each set of equivalent atoms:
Fe 0.0000 0.0000 0.0000 (multiplicity 3)
Fe 0.0000 0.0000 0.2516 (multiplicity 3)
Si 0.0000 0.0000 0.7429 (multiplicity 3)
Os 0.0000 0.0000 0.4970 (multiplicity 3)


4.
DFT (meta-GGA SCAN) results for a PBEsol-optimized structure of Fe2SiOs.

Properties
E_form (uncorrected), eV per atom: -0.187
Density, g/cm³: 11.868

Cell lengths 2.8292, 4.0038, 8.1526 Å; angles 90.00, 90.00, 90.00 degrees
Space group Immm (No. 71)
One atom of each set of equivalent atoms:
Fe 0.0000 0.0000 0.2357 (multiplicity 4)
Si 0.0000 0.5000 0.5000 (multiplicity 2)
Os 0.0000 0.5000 0.0000 (multiplicity 2)


5.
DFT (meta-GGA SCAN) results for a PBEsol-optimized structure of Fe2SiOs.

Properties
E_form (uncorrected), eV per atom: -0.175
Density, g/cm³: 11.507

Cell lengths 3.5183, 3.5183, 3.8473 Å; angles 90.00, 90.00, 90.00 degrees
Space group P4/mmm (No. 123)
One atom of each set of equivalent atoms:
Fe 0.0000 0.5000 0.0000 (multiplicity 2)
Si 0.0000 0.0000 0.5000 (multiplicity 1)
Os 0.5000 0.5000 0.5000 (multiplicity 1)


6.
DFT (meta-GGA SCAN) results for a PBEsol-optimized structure of Fe2SiOs.

Properties
E_form (uncorrected), eV per atom: -0.295
Density, g/cm³: 11.652

Cell lengths 5.7298, 5.7298, 5.7298 Å; angles 90.00, 90.00, 90.00 degrees
Space group F-43m (No. 216)
One atom of each set of equivalent atoms:
Fe 0.0000 0.0000 0.0000 (multiplicity 4)
Fe 0.2500 0.2500 0.2500 (multiplicity 4)
Si 0.0000 0.0000 0.5000 (multiplicity 4)
Os 0.2500 0.2500 0.7500 (multiplicity 4)


7.
DFT (meta-GGA SCAN) results for a PBEsol-optimized structure of SrFeOs2.

Properties
E above lowest polymorph, eV/atom: 0.0102
Density, g/cm³: 13.559
Formation energy, kJ per mole of atoms: 61.1

Cell lengths 2.7891, 2.7891, 8.2484 Å; angles 90.00, 90.00, 90.00 degrees
Space group P4/mmm (No. 123)
One atom of each set of equivalent atoms:
Sr 0.0000 0.0000 0.0000 (multiplicity 1)
Fe 0.0000 0.0000 0.5000 (multiplicity 1)
Os 0.5000 0.5000 0.3099 (multiplicity 2)


8.
DFT (meta-GGA SCAN) results for a PBEsol-optimized structure of SrFeOs2.

Properties
E above lowest polymorph, eV/atom: 0.0000
Density, g/cm³: 12.847
Formation energy, kJ per mole of atoms: 60.1

Cell lengths 2.8319, 2.8319, 8.4445 Å; angles 90.00, 90.00, 90.00 degrees
Space group P4mm (No. 99)
One atom of each set of equivalent atoms:
Sr 0.0000 0.0000 0.0000 (multiplicity 1)
Fe 0.5000 0.5000 0.3031 (multiplicity 1)
Os 0.0000 0.0000 0.5066 (multiplicity 1)
Os 0.5000 0.5000 0.7033 (multiplicity 1)


9.
DFT (meta-GGA SCAN) results for a PBEsol-optimized structure of SrFe2Os.

Properties
E above lowest polymorph, eV/atom: 0.0009
Density, g/cm³: 9.968
Formation energy, kJ per mole of atoms: 53.4

Cell lengths 2.9524, 2.9524, 7.4442 Å; angles 90.00, 90.00, 90.00 degrees
Space group P4mm (No. 99)
One atom of each set of equivalent atoms:
Sr 0.0000 0.0000 0.0000 (multiplicity 1)
Fe 0.0000 0.0000 0.4889 (multiplicity 1)
Fe 0.5000 0.5000 0.3277 (multiplicity 1)
Os 0.5000 0.5000 0.6728 (multiplicity 1)


10.
DFT (meta-GGA SCAN) results for a PBEsol-optimized structure of Sr3FeOs.

Properties
Density, g/cm³: 5.888
Formation energy, kJ per mole of atoms: 135.2

Cell lengths 5.2358, 5.2358, 5.2358 Å; angles 90.00, 90.00, 90.00 degrees
Space group Pm-3m (No. 221)
One atom of each set of equivalent atoms:
Sr 0.0000 0.0000 0.5000 (multiplicity 3)
Fe 0.0000 0.0000 0.0000 (multiplicity 1)
Os 0.5000 0.5000 0.5000 (multiplicity 1)


11.
DFT (meta-GGA SCAN) results for a PBEsol-optimized structure of SrFe2Os.

Properties
E above lowest polymorph, eV/atom: 0.3387
Density, g/cm³: 10.081
Formation energy, kJ per mole of atoms: 86.0

Cell lengths 6.3551, 6.3551, 6.3551 Å; angles 90.00, 90.00, 90.00 degrees
Space group Fm-3m (No. 225)
One atom of each set of equivalent atoms:
Sr 0.0000 0.0000 0.0000 (multiplicity 4)
Fe 0.2500 0.2500 0.2500 (multiplicity 8)
Os 0.0000 0.0000 0.5000 (multiplicity 4)


12.
DFT (meta-GGA SCAN) results for a PBEsol-optimized structure of SrFe2Os.

Properties
E above lowest polymorph, eV/atom: 0.0000
Density, g/cm³: 9.424
Formation energy, kJ per mole of atoms: 53.3

Cell lengths 3.1295, 3.1295, 7.0088 Å; angles 90.00, 90.00, 90.00 degrees
Space group P4/mmm (No. 123)
One atom of each set of equivalent atoms:
Sr 0.0000 0.0000 0.0000 (multiplicity 1)
Fe 0.5000 0.5000 0.3328 (multiplicity 2)
Os 0.0000 0.0000 0.5000 (multiplicity 1)


13.
DFT (meta-GGA SCAN) results for a PBEsol-optimized structure of SrFe2Os.

Properties
E above lowest polymorph, eV/atom: 0.2950
Density, g/cm³: 10.556
Formation energy, kJ per mole of atoms: 81.8

Cell lengths 4.7116, 4.7116, 2.7604 Å; angles 90.00, 90.00, 90.00 degrees
Space group P4/mmm (No. 123)
One atom of each set of equivalent atoms:
Sr 0.0000 0.0000 0.0000 (multiplicity 1)
Fe 0.0000 0.5000 0.5000 (multiplicity 2)
Os 0.5000 0.5000 0.0000 (multiplicity 1)


14.
DFT (meta-GGA SCAN) results for a PBEsol-optimized structure of SrFe2Os.

Properties
E above lowest polymorph, eV/atom: 0.2425
Density, g/cm³: 10.153
Formation energy, kJ per mole of atoms: 76.7

Cell lengths 2.7307, 4.8162, 9.6889 Å; angles 90.00, 90.00, 90.00 degrees
Space group Imm2 (No. 44)
One atom of each set of equivalent atoms:
Sr 0.0000 0.0000 0.0000 (multiplicity 2)
Fe 0.0000 0.0000 0.4930 (multiplicity 2)
Fe 0.0000 0.5000 0.7849 (multiplicity 2)
Os 0.0000 0.5000 0.2120 (multiplicity 2)


15.
DFT (meta-GGA SCAN) results for a PBEsol-optimized structure of Ta2FeOs.

Properties
E above lowest polymorph, eV/atom: 0.2211
Density, g/cm³: 16.820
Formation energy, kJ per mole of atoms: -14.4

Cell lengths 3.1942, 4.2530, 4.4182 Å; angles 90.00, 90.00, 90.00 degrees
Space group Pmmm (No. 47)
One atom of each set of equivalent atoms:
Ta 0.0000 0.0000 0.0000 (multiplicity 1)
Ta 0.5000 0.0000 0.5000 (multiplicity 1)
Fe 0.0000 0.5000 0.5000 (multiplicity 1)
Os 0.5000 0.5000 0.0000 (multiplicity 1)


16.
DFT (meta-GGA SCAN) results for a PBEsol-optimized structure of Ta2FeOs.

Properties
E above lowest polymorph, eV/atom: 0.0291
Density, g/cm³: 16.934
Formation energy, kJ per mole of atoms: -33.0

Cell lengths 3.0751, 3.0751, 6.3047 Å; angles 90.00, 90.00, 90.00 degrees
Space group P4/mmm (No. 123)
One atom of each set of equivalent atoms:
Ta 0.0000 0.0000 0.2372 (multiplicity 2)
Fe 0.5000 0.5000 0.0000 (multiplicity 1)
Os 0.5000 0.5000 0.5000 (multiplicity 1)


17.
DFT (meta-GGA SCAN) results for a PBEsol-optimized structure of TaFe4Os.

Properties
Density, g/cm³: 13.753
Formation energy, kJ per mole of atoms: -6.3

Cell lengths 6.5973, 6.5973, 6.5973 Å; angles 90.00, 90.00, 90.00 degrees
Space group F-43m (No. 216)
One atom of each set of equivalent atoms:
Ta 0.0000 0.0000 0.0000 (multiplicity 4)
Fe 0.1249 0.1249 0.3751 (multiplicity 16)
Os 0.2500 0.2500 0.7500 (multiplicity 4)


18.
DFT (meta-GGA SCAN) results for a PBEsol-optimized structure of Ta2FeOs.

Properties
E above lowest polymorph, eV/atom: 0.0000
Density, g/cm³: 16.794
Formation energy, kJ per mole of atoms: -35.8

Cell lengths 6.2184, 6.2184, 6.2184 Å; angles 90.00, 90.00, 90.00 degrees
Space group Fm-3m (No. 225)
One atom of each set of equivalent atoms:
Ta 0.2500 0.2500 0.2500 (multiplicity 8)
Fe 0.0000 0.0000 0.0000 (multiplicity 4)
Os 0.0000 0.0000 0.5000 (multiplicity 4)


19.
DFT (meta-GGA SCAN) results for a PBEsol-optimized structure of TaFe2Os.

Properties
Density, g/cm³: 14.828
Formation energy, kJ per mole of atoms: -17.3

Cell lengths 3.1259, 4.1248, 4.1940 Å; angles 90.00, 90.00, 90.00 degrees
Space group Pmmm (No. 47)
One atom of each set of equivalent atoms:
Ta 0.0000 0.0000 0.0000 (multiplicity 1)
Fe 0.0000 0.5000 0.5000 (multiplicity 1)
Fe 0.5000 0.5000 0.0000 (multiplicity 1)
Os 0.5000 0.0000 0.5000 (multiplicity 1)


20.
DFT (meta-GGA SCAN) results for a PBEsol-optimized structure of TaFeOs.

Properties
Density, g/cm³: 15.194
Formation energy, kJ per mole of atoms: 33.4

Cell lengths 5.7152, 5.7152, 5.7152 Å; angles 90.00, 90.00, 90.00 degrees
Space group F-43m (No. 216)
One atom of each set of equivalent atoms:
Ta 0.0000 0.0000 0.0000 (multiplicity 4)
Fe 0.2500 0.2500 0.2500 (multiplicity 4)
Os 0.0000 0.0000 0.5000 (multiplicity 4)


21.
DFT (meta-GGA SCAN) results for a PBEsol-optimized structure of Ta2FeOs.

Properties
E above lowest polymorph, eV/atom: 0.1821
Density, g/cm³: 16.677
Formation energy, kJ per mole of atoms: -18.2

Cell lengths 3.1431, 3.1431, 6.1275 Å; angles 90.00, 90.00, 90.00 degrees
Space group P4mm (No. 99)
One atom of each set of equivalent atoms:
Ta 0.0000 0.0000 0.0000 (multiplicity 1)
Ta 0.5000 0.5000 0.2895 (multiplicity 1)
Fe 0.0000 0.0000 0.5138 (multiplicity 1)
Os 0.5000 0.5000 0.7563 (multiplicity 1)


22.
DFT (meta-GGA SCAN) results for a PBEsol-optimized structure of TaFe2Os.

Properties
Density, g/cm³: 14.866
Formation energy, kJ per mole of atoms: -19.2

Cell lengths 3.0518, 3.0518, 5.7910 Å; angles 90.00, 90.00, 90.00 degrees
Space group P4mm (No. 99)
One atom of each set of equivalent atoms:
Ta 0.0000 0.0000 0.0000 (multiplicity 1)
Fe 0.0000 0.0000 0.4729 (multiplicity 1)
Fe 0.5000 0.5000 0.2540 (multiplicity 1)
Os 0.5000 0.5000 0.7299 (multiplicity 1)


23.
DFT (meta-GGA SCAN) results for a PBEsol-optimized structure of Fe2TcOs.

Properties
Density, g/cm³: 13.646
Formation energy, kJ per mole of atoms: 15.2

Cell lengths 2.6038, 3.6215, 5.1606 Å; angles 90.00, 90.00, 90.00 degrees
Space group Pmm2 (No. 25)
One atom of each set of equivalent atoms:
Fe 0.0000 0.0000 0.0000 (multiplicity 1)
Fe 0.5000 0.5000 0.2271 (multiplicity 1)
Tc 0.5000 0.5000 0.7590 (multiplicity 1)
Os 0.0000 0.0000 0.4719 (multiplicity 1)


24.
DFT (meta-GGA SCAN) results for a PBEsol-optimized structure of FeTcOs2.

Properties
E above lowest polymorph, eV/atom: 0.0000
Density, g/cm³: 16.988
Formation energy, kJ per mole of atoms: 11.2

Cell lengths 3.7375, 3.7375, 7.4780 Å; angles 90.00, 90.00, 90.00 degrees
Space group I-4m2 (No. 119)
One atom of each set of equivalent atoms:
Fe 0.0000 0.0000 0.0000 (multiplicity 2)
Tc 0.0000 0.5000 0.7500 (multiplicity 2)
Os 0.0000 0.0000 0.5000 (multiplicity 2)
Os 0.0000 0.5000 0.2500 (multiplicity 2)


25.
DFT (meta-GGA SCAN) results for a PBEsol-optimized structure of FeTcOs2.

Properties
E above lowest polymorph, eV/atom: 0.0376
Density, g/cm³: 16.695
Formation energy, kJ per mole of atoms: 14.9

Cell lengths 2.6729, 2.6729, 25.7681 Å; angles 90.00, 90.00, 120.00 degrees
Space group R3m (No. 160, hexagonal axes)
One atom of each set of equivalent atoms:
Fe 0.0000 0.0000 0.0000 (multiplicity 3)
Tc 0.0000 0.0000 0.2521 (multiplicity 3)
Os 0.0000 0.0000 0.5000 (multiplicity 3)
Os 0.0000 0.0000 0.7458 (multiplicity 3)


26.
DFT (meta-GGA SCAN) results for a PBEsol-optimized structure of Fe2TeOs.

Properties
E_form (uncorrected), eV per atom: 0.481
Density, g/cm³: 12.504

Cell lengths 8.4696, 3.0144, 4.5503 Å; angles 90.00, 100.88, 90.00 degrees
Space group Cm (No. 8)
One atom of each set of equivalent atoms:
Fe 0.0000 0.0000 0.0000 (multiplicity 2)
Fe 0.2399 0.5000 0.1811 (multiplicity 2)
Te 0.2382 0.0000 0.7152 (multiplicity 2)
Os 0.4830 0.0000 0.4448 (multiplicity 2)


27.
DFT (meta-GGA SCAN) results for a PBEsol-optimized structure of Fe2TeOs.

Properties
E_form (uncorrected), eV per atom: 0.639
Density, g/cm³: 12.275

Cell lengths 2.8887, 2.8887, 24.1216 Å; angles 90.00, 90.00, 120.00 degrees
Space group R-3m (No. 166, hexagonal axes)
One atom of each set of equivalent atoms:
Fe 0.0000 0.0000 0.2471 (multiplicity 6)
Te 0.0000 0.0000 0.0000 (multiplicity 3)
Os 0.0000 0.0000 0.5000 (multiplicity 3)


28.
DFT (meta-GGA SCAN) results for a PBEsol-optimized structure of FeTe2Os2.

Properties
E_form (uncorrected), eV per atom: 0.944
Density, g/cm³: 11.815

Cell lengths 3.5580, 3.5580, 15.3539 Å; angles 90.00, 90.00, 90.00 degrees
Space group I4/mmm (No. 139)
One atom of each set of equivalent atoms:
Fe 0.0000 0.0000 0.0000 (multiplicity 2)
Te 0.0000 0.0000 0.3951 (multiplicity 4)
Os 0.0000 0.5000 0.2500 (multiplicity 4)


29.
DFT (meta-GGA SCAN) results for a PBEsol-optimized structure of Fe2TeOs.

Properties
E_form (uncorrected), eV per atom: 0.446
Density, g/cm³: 12.494

Cell lengths 3.0417, 4.3069, 4.3576 Å; angles 90.00, 90.00, 90.00 degrees
Space group Pmm2 (No. 25)
One atom of each set of equivalent atoms:
Fe 0.0000 0.0000 0.0000 (multiplicity 1)
Fe 0.0000 0.5000 0.2845 (multiplicity 1)
Te 0.5000 0.0000 0.4714 (multiplicity 1)
Os 0.5000 0.5000 0.8171 (multiplicity 1)


30.
DFT (meta-GGA SCAN) results for a PBEsol-optimized structure of TlFeOs2.

Properties
E above lowest polymorph, eV/atom: 0.0161
Density, g/cm³: 17.637
Formation energy, kJ per mole of atoms: 84.7

Cell lengths 3.9440, 3.9440, 3.8779 Å; angles 90.00, 90.00, 90.00 degrees
Space group P4/mmm (No. 123)
One atom of each set of equivalent atoms:
Tl 0.0000 0.0000 0.0000 (multiplicity 1)
Fe 0.5000 0.5000 0.0000 (multiplicity 1)
Os 0.0000 0.5000 0.5000 (multiplicity 2)


31.
DFT (meta-GGA SCAN) results for a PBEsol-optimized structure of TlFeOs2.

Properties
E above lowest polymorph, eV/atom: 0.0000
Density, g/cm³: 17.794
Formation energy, kJ per mole of atoms: 83.1

Cell lengths 3.8959, 3.8959, 7.8783 Å; angles 90.00, 90.00, 90.00 degrees
Space group I4/mmm (No. 139)
One atom of each set of equivalent atoms:
Tl 0.0000 0.0000 0.0000 (multiplicity 2)
Fe 0.0000 0.0000 0.5000 (multiplicity 2)
Os 0.0000 0.5000 0.2500 (multiplicity 4)